(one)
VASP calculation (GGA-PBE) on an optimized crystal structure of HoMn2Ni9.

```
24
Lattice="4.715 0.000 0.000 0.000 8.058 0.000 0.000 0.000 8.058" Properties=species:S:1:pos:R:3 pbc="T T T"
Ni 1.143 1.439 5.468
Ni 2.357 6.365 0.508
Ni 2.357 0.000 4.029
Ni 2.357 2.335 3.521
Ni 2.357 7.550 6.365
Ni 2.357 4.537 2.335
Ni 1.143 5.468 6.620
Ni 3.572 1.439 5.468
Ni 2.357 0.508 1.694
Ni 2.357 3.521 5.723
Ni 2.357 5.723 4.537
Ni 2.357 4.029 0.000
Ni 1.143 2.590 1.439
Ni 1.143 6.620 2.590
Ni 2.357 1.694 7.550
Ni 3.572 2.590 1.439
Ni 3.572 6.620 2.590
Ni 3.572 5.468 6.620
Mn 0.000 3.072 7.101
Mn 0.000 0.957 3.072
Mn 0.000 7.101 4.986
Mn 0.000 4.986 0.957
Ho 0.000 0.000 0.000
Ho 0.000 4.029 4.029
```

The value obtained for the total magnetization is 23.2 μB per cell.



(two)
VASP calculation (GGA-PBE) on an optimized crystal structure of HoMn2Ni9.

```
12
Lattice="4.796 0.000 0.000 2.398 4.153 0.000 2.398 1.384 7.769" Properties=species:S:1:pos:R:3 pbc="T T T"
Ni 6.012 2.067 2.007
Ni 3.579 3.471 5.762
Ni 4.796 2.769 7.753
Ni 4.796 4.174 2.007
Ni 4.796 1.364 5.762
Ni 6.012 3.471 5.762
Ni 4.796 2.769 3.885
Ni 4.796 2.769 0.016
Ni 3.579 2.067 2.007
Mn 7.194 4.153 3.377
Mn 2.398 1.384 4.392
Ho 0.000 0.000 0.000
```

The value obtained for the total magnetization is 12.2 μB per cell.



(two) is the least stable structure shown above.